No. 1
A plane-wave DFT calculation with GGA-PBE was carried out for a relaxed MgZnAg2 crystal.

Results
The total energy comes out at -2.24 eV/atom. The space-group type is P2/m (10).

abc: 2.9462 4.3919 5.6137
angles: 90.00 103.59 90.00
Element x y z (fractional)
Mg: 0.0000 0.0000 0.0000
Zn: 0.5000 0.0000 0.5000
Ag: 0.3322 0.5000 0.7412
Ag: 0.6678 0.5000 0.2588


No. 2
A plane-wave DFT calculation with GGA-PBE was carried out for a relaxed Mg2Zn15Ag2 crystal.

Results
The total energy comes out at -1.49 eV/atom. The space-group type is R-3m (166).

abc: 6.7988 6.7988 6.7988
angles: 83.40 83.40 83.40
Element x y z (fractional)
Mg: 0.1528 0.1528 0.1528
Mg: 0.8472 0.8472 0.8472
Zn: 0.0000 0.5000 0.5000
Zn: 0.1442 0.1442 0.6631
Zn: 0.1442 0.6631 0.1442
Zn: 0.1984 0.5000 0.8016
Zn: 0.1984 0.8016 0.5000
Zn: 0.3369 0.8558 0.8558
Zn: 0.5000 0.0000 0.5000
Zn: 0.5000 0.1984 0.8016
Zn: 0.5000 0.5000 0.0000
Zn: 0.5000 0.8016 0.1984
Zn: 0.6631 0.1442 0.1442
Zn: 0.8016 0.1984 0.5000
Zn: 0.8016 0.5000 0.1984
Zn: 0.8558 0.3369 0.8558
Zn: 0.8558 0.8558 0.3369
Ag: 0.3880 0.3880 0.3880
Ag: 0.6120 0.6120 0.6120


No. 3
A plane-wave DFT calculation with GGA-PBE was carried out for a relaxed MgZn2Ag3 crystal.

Results
The total energy comes out at -2.22 eV/atom. The space-group type is Cmmm (65).

abc: 6.7831 6.7831 3.6490
angles: 90.00 90.00 142.99
Element x y z (fractional)
Mg: 0.0000 0.0000 0.0000
Zn: 0.3330 0.6670 0.0000
Zn: 0.6670 0.3330 0.0000
Ag: 0.1698 0.8302 0.5000
Ag: 0.5000 0.5000 0.5000
Ag: 0.8302 0.1698 0.5000


No. 4
A plane-wave DFT calculation with GGA-PBE was carried out for a relaxed Mg3Zn3Ag2 crystal.

Results
The total energy comes out at -1.91 eV/atom. The space-group type is Pmmm (47).

abc: 4.5322 4.5810 6.7239
angles: 90.00 90.00 90.00
Element x y z (fractional)
Mg: 0.0000 0.0000 0.0000
Mg: 0.0000 0.0000 0.5000
Mg: 0.5000 0.5000 0.0000
Zn: 0.0000 0.5000 0.2624
Zn: 0.0000 0.5000 0.7376
Zn: 0.5000 0.5000 0.5000
Ag: 0.5000 0.0000 0.2567
Ag: 0.5000 0.0000 0.7433


No. 5
A plane-wave DFT calculation with GGA-PBE was carried out for a relaxed MgZn9Ag2 crystal.

Results
The value obtained for the energy above the lowest structure with this stoichiometry is 44 meV per atom. The space-group type is P6/mmm (191).

abc: 8.7319 8.7319 2.9909
angles: 90.00 90.00 120.00
Element x y z (fractional)
Mg: 0.0000 0.0000 0.0000
Zn: 0.0000 0.5000 0.0000
Zn: 0.1756 0.3512 0.5000
Zn: 0.1756 0.8244 0.5000
Zn: 0.3512 0.1756 0.5000
Zn: 0.5000 0.0000 0.0000
Zn: 0.5000 0.5000 0.0000
Zn: 0.6488 0.8244 0.5000
Zn: 0.8244 0.1756 0.5000
Zn: 0.8244 0.6488 0.5000
Ag: 0.3333 0.6667 0.0000
Ag: 0.6667 0.3333 0.0000


No. 6
A plane-wave DFT calculation with GGA-PBE was carried out for a relaxed MgZn2Ag crystal.

Results
The total energy comes out at -1.82 eV/atom. The space-group type is F-43m (216).

abc: 4.5449 4.5449 4.5449
angles: 60.00 60.00 60.00
Element x y z (fractional)
Mg: 0.0000 0.0000 0.0000
Zn: 0.2500 0.2500 0.2500
Zn: 0.5000 0.5000 0.5000
Ag: 0.7500 0.7500 0.7500


No. 7
A plane-wave DFT calculation with GGA-PBE was carried out for a relaxed MgZn2Ag5 crystal.

Results
The value obtained for the energy above the lowest structure with this stoichiometry is 38 meV per atom. The space-group type is I4/mcm (140).

abc: 7.4759 7.4759 7.4759
angles: 123.61 123.61 83.86
Element x y z (fractional)
Mg: 0.2500 0.2500 0.0000
Mg: 0.7500 0.7500 0.0000
Zn: 0.1452 0.6452 0.7903
Zn: 0.3548 0.1452 0.5000
Zn: 0.6452 0.8548 0.5000
Zn: 0.8548 0.3548 0.2097
Ag: 0.0000 0.0000 0.0000
Ag: 0.0070 0.8076 0.5000
Ag: 0.1924 0.6924 0.1994
Ag: 0.3076 0.5070 0.5000
Ag: 0.4930 0.9930 0.8006
Ag: 0.5000 0.5000 0.0000
Ag: 0.5070 0.0070 0.1994
Ag: 0.6924 0.4930 0.5000
Ag: 0.8076 0.3076 0.8006
Ag: 0.9930 0.1924 0.5000


No. 8
A plane-wave DFT calculation with GGA-PBE was carried out for a relaxed MgZnAg2 crystal.

Results
The total energy comes out at -2.29 eV/atom. The space-group type is P4/mmm (123).

abc: 3.2525 3.2525 6.5309
angles: 90.00 90.00 90.00
Element x y z (fractional)
Mg: 0.0000 0.0000 0.0000
Zn: 0.0000 0.0000 0.5000
Ag: 0.5000 0.5000 0.2639
Ag: 0.5000 0.5000 0.7361


no.,density (g/cm³),total magnetization (μB per atom)
1,7.184,0.00
2,6.705,0.00
3,7.866,0.00
4,5.767,0.00
5,6.968,0.00
6,6.579,0.00
7,8.309,0.00
8,7.342,0.00